A relaxed LiCoAsO4 crystal. Source: Alexandria, functional GGA+U.

total magnetic moment = 12.014 μB per cell
relative energy among the computed polymorphs = 17 meV per atom

a b c (Å): 5.834 6.020 8.183
angles (deg): 90.00 90.00 90.00
Space group Imma (No. 74)
Symmetry-distinct sites (fractional):
Li: 0.250 0.250 0.250 [4 per cell]
Co: 0.000 0.000 0.000 [4 per cell]
As: 0.000 0.250 0.630 [4 per cell]
O: 0.000 0.011 0.748 [8 per cell]
O: 0.242 0.250 0.504 [8 per cell]